Record 1
In2Ag5Cl12: optimized geometry, GGA-PBE.

Cell lengths 9.0165, 9.0165, 8.6158 Å; angles 104.05, 104.05, 49.46 degrees
Atoms (fractional coordinates):
1 In 0.2446 0.7554 0.0000
2 In 0.7554 0.2446 0.0000
3 Ag 0.1532 0.1532 0.7911
4 Ag 0.2453 0.2453 0.4790
5 Ag 0.5000 0.5000 0.5000
6 Ag 0.7547 0.7547 0.5210
7 Ag 0.8468 0.8468 0.2089
8 Cl 0.0279 0.0279 0.2220
9 Cl 0.0891 0.5908 0.4181
10 Cl 0.1003 0.6005 0.9924
11 Cl 0.3995 0.8997 0.0076
12 Cl 0.4092 0.9108 0.5819
13 Cl 0.4677 0.4677 0.7780
14 Cl 0.5323 0.5323 0.2220
15 Cl 0.5908 0.0891 0.4181
16 Cl 0.6005 0.1003 0.9924
17 Cl 0.8997 0.3995 0.0076
18 Cl 0.9108 0.4092 0.5819
19 Cl 0.9721 0.9721 0.7780

Values from the calculation:
SG   C2/m, No. 12
Energy   -2.87 eV per atom
E_form (uncorrected)   -12.59 eV per formula unit
Excess energy over the best structure of this formula in the dataset   0.022 eV/atom



Record 2
KMn2Ni: optimized geometry, GGA-PBE.

Cell lengths 2.9367, 4.9653, 4.9823 Å; angles 90.00, 90.00, 90.00 degrees
Atoms (fractional coordinates):
1 K 0.0000 0.0000 0.0000
2 Mn 0.0000 0.5000 0.5000
3 Mn 0.5000 0.5000 0.0000
4 Ni 0.5000 0.0000 0.5000

Values from the calculation:
SG   Pmmm, No. 47
Energy   -5.22 eV per atom
Excess energy over the best structure of this formula in the dataset   0.515 eV/atom



Record 3
La2Cu3Hg: optimized geometry, GGA-PBE.

Cell lengths 8.8461, 8.8461, 8.8461 Å; angles 153.52, 153.27, 37.98 degrees
Atoms (fractional coordinates):
1 La 0.0000 0.0000 0.0000
2 La 0.7726 0.2726 0.5000
3 Cu 0.1996 0.6996 0.5000
4 Cu 0.3474 0.8474 0.5000
5 Cu 0.4307 0.4307 0.0000
6 Hg 0.5995 0.5995 0.0000

Values from the calculation:
SG   Imm2, No. 44
Energy   -3.99 eV per atom
Excess energy over the best structure of this formula in the dataset   0.006 eV/atom



Record 4
ZrReRh2: optimized geometry, GGA-PBE.

Cell lengths 4.5028, 4.5028, 4.5028 Å; angles 60.00, 60.00, 60.00 degrees
Atoms (fractional coordinates):
1 Zr 0.0000 0.0000 0.0000
2 Re 0.7500 0.7500 0.7500
3 Rh 0.2500 0.2500 0.2500
4 Rh 0.5000 0.5000 0.5000

Values from the calculation:
SG   F-43m, No. 216
Energy   -9.00 eV per atom
Excess energy over the best structure of this formula in the dataset   0.269 eV/atom



Record 5
KNdPu2Se4: optimized geometry, GGA-PBE.

Cell lengths 7.4146, 4.2273, 7.4810 Å; angles 90.00, 109.03, 90.00 degrees
Atoms (fractional coordinates):
1 K 0.0000 0.0000 0.0000
2 Nd 0.0000 0.5000 0.5000
3 Pu 0.5000 0.0000 0.5000
4 Pu 0.5000 0.5000 0.0000
5 Se 0.2605 0.0000 0.7470
6 Se 0.2691 0.5000 0.2692
7 Se 0.7309 0.5000 0.7308
8 Se 0.7395 0.0000 0.2530

Values from the calculation:
SG   P2/m, No. 10
Energy   -7.60 eV per atom
E_form (uncorrected)   -12.30 eV per formula unit



Record 6
HgBi3As: optimized geometry, GGA-PBE.

Cell lengths 5.6189, 5.6189, 5.6189 Å; angles 90.00, 90.00, 90.00 degrees
Atoms (fractional coordinates):
1 Hg 0.0000 0.0000 0.0000
2 Bi 0.0000 0.5000 0.5000
3 Bi 0.5000 0.0000 0.5000
4 Bi 0.5000 0.5000 0.0000
5 As 0.5000 0.5000 0.5000

Values from the calculation:
SG   Pm-3m, No. 221
Energy   -2.82 eV per atom
Excess energy over the best structure of this formula in the dataset   0.000 eV/atom